[1]
NdTlPb4 | Alexandria | PBE | relaxed; E_form = -0.09 eV per atom
1.0
6.496 0.000 0.000
3.248 5.626 0.000
3.248 1.875 5.304
Pb Tl Nd
4 1 1
Cartesian
8.128 4.693 3.318 Pb
4.864 4.693 3.318 Pb
6.496 1.866 3.318 Pb
6.496 3.750 0.653 Pb
3.248 1.875 1.326 Tl
0.000 0.000 0.000 Nd


[2]
Nd6Tl5Pb | Alexandria | PBE | relaxed; E_form = -0.41 eV per atom
1.0
-0.877 2.177 -5.011
-4.783 -8.308 0.289
-1.936 6.884 6.390
Nd Tl Pb
6 5 1
Cartesian
-5.265 -0.523 3.758 Nd
-2.368 -2.340 -0.599 Nd
-6.174 -1.962 0.237 Nd
-1.421 2.715 1.432 Nd
-2.331 1.276 -2.089 Nd
-5.227 3.093 2.268 Nd
-3.798 0.377 0.834 Tl
-2.887 1.810 4.353 Tl
-3.832 -3.234 2.327 Tl
-2.859 5.383 2.845 Tl
-4.736 -4.630 -1.176 Tl
0.000 0.000 0.000 Pb


[3]
Nd5TlPb3 | Alexandria | PBE | relaxed; E_form = -0.52 eV per atom
1.0
6.785 0.000 0.000
0.000 8.460 -4.884
0.000 0.000 9.768
Nd Pb Tl
10 6 2
Cartesian
5.089 6.107 3.526 Nd
0.000 2.820 4.884 Nd
5.089 8.459 -2.168 Nd
5.089 2.352 -1.358 Nd
1.696 0.000 7.052 Nd
1.696 2.352 1.358 Nd
0.000 5.640 0.000 Nd
3.392 2.820 4.884 Nd
1.696 6.108 -3.526 Nd
3.392 5.640 0.000 Nd
5.089 8.459 1.211 Pb
1.696 5.279 3.047 Pb
5.089 5.279 -3.048 Pb
5.089 3.181 1.836 Pb
1.696 3.181 -1.837 Pb
1.696 0.000 3.673 Pb
3.392 0.000 0.000 Tl
0.000 0.000 0.000 Tl


[4]
NdTlPb | Alexandria | PBE | relaxed; E_form = -0.23 eV per atom; excess energy over the best structure of this formula in the dataset = 118 meV per atom
1.0
3.900 0.000 0.000
0.000 3.900 0.000
-1.950 -1.950 5.909
Nd Tl Pb
1 1 1
Cartesian
1.950 1.950 5.365 Nd
1.950 1.950 1.471 Tl
0.000 0.000 3.209 Pb


[5]
Nd3TlPb2 | Alexandria | PBE | relaxed; E_form = -0.43 eV per atom; excess energy over the best structure of this formula in the dataset = 16 meV per atom
1.0
-2.704 -3.253 2.368
9.406 -7.577 0.330
3.748 5.149 11.355
Nd Tl Pb
12 4 8
Cartesian
4.699 -2.183 4.848 Nd
0.808 -2.276 5.240 Nd
2.496 0.999 6.705 Nd
2.990 -3.482 1.111 Nd
3.244 3.074 10.409 Nd
9.643 -3.406 8.813 Nd
7.955 -6.681 7.348 Nd
7.207 -8.756 3.644 Nd
5.752 -3.499 9.205 Nd
6.490 -4.951 3.091 Nd
3.961 -0.731 10.962 Nd
7.461 -2.200 12.942 Nd
5.353 -5.539 5.946 Tl
5.098 -0.143 8.107 Tl
9.188 -4.544 11.692 Tl
1.263 -1.138 2.361 Tl
7.445 -0.659 10.078 Pb
2.947 -2.330 7.607 Pb
9.585 -6.467 4.541 Pb
10.846 -1.959 12.175 Pb
-0.395 -3.722 1.878 Pb
0.866 0.785 9.512 Pb
7.504 -3.352 6.446 Pb
3.006 -5.023 3.975 Pb


[6]
Nd4Tl3Pb | Alexandria | PBE | relaxed; E_form = -0.42 eV per atom
1.0
-3.261 3.979 -2.460
-5.473 -1.510 4.814
4.086 7.717 7.066
Nd Tl Pb
8 6 2
Cartesian
-5.744 0.855 2.389 Nd
-3.394 5.277 0.664 Nd
-0.947 5.473 3.499 Nd
-2.990 1.614 -0.034 Nd
-3.701 4.713 5.922 Nd
-6.141 4.520 3.080 Nd
-1.254 4.909 8.757 Nd
1.493 5.667 6.341 Nd
-3.115 2.882 3.118 Tl
2.043 3.859 3.533 Tl
0.000 0.000 0.000 Tl
-1.533 7.304 6.303 Tl
1.191 8.074 3.887 Tl
-0.366 3.622 0.720 Tl
-2.737 -0.755 2.407 Pb
-0.693 3.104 5.940 Pb


[7]
Nd8TlPb5 | Alexandria | PBE | relaxed; E_form = -0.53 eV per atom
1.0
-3.100 4.076 -6.666
-3.663 -7.539 0.637
-1.531 4.465 6.955
Nd Pb Tl
8 5 1
Cartesian
-2.300 0.888 1.016 Nd
-4.097 -1.557 -1.188 Nd
-6.519 -0.256 2.468 Nd
-4.719 3.524 2.148 Nd
-4.590 6.451 -1.365 Nd
-3.935 -2.867 3.234 Nd
-3.836 2.906 -2.340 Nd
-3.179 -5.077 -0.266 Nd
-2.315 4.270 0.145 Pb
-3.156 5.034 4.526 Pb
-6.284 -1.919 -3.527 Pb
-5.570 1.152 -0.266 Pb
-1.579 -2.262 1.121 Pb
-3.755 0.598 3.869 Tl


[8]
Nd2TlPb3 | Alexandria | PBE | relaxed; E_form = -0.45 eV per atom; excess energy over the best structure of this formula in the dataset = 0 meV per atom
1.0
-3.570 0.616 -2.942
-3.111 -0.567 3.657
1.990 7.483 2.854
Pb Nd Tl
3 2 1
Cartesian
-1.713 3.047 -0.985 Pb
0.133 5.052 0.897 Pb
-3.341 0.025 0.358 Pb
-1.494 2.043 2.242 Nd
-3.197 5.489 1.328 Nd
0.000 0.000 0.000 Tl


[9]
Nd6Tl4Pb7 | Alexandria | PBE | relaxed; E_form = -0.17 eV per atom
1.0
8.412 0.000 -2.974
-4.206 7.285 -2.974
0.000 0.000 8.922
Tl Pb Nd
4 7 6
Cartesian
0.000 0.000 4.461 Tl
2.103 3.643 1.487 Tl
4.206 0.000 -1.487 Tl
-2.103 3.643 -1.487 Tl
0.000 3.643 4.461 Pb
5.258 1.821 1.487 Pb
3.155 1.821 4.461 Pb
-1.052 5.464 1.487 Pb
4.206 3.643 -1.487 Pb
1.052 5.464 -1.487 Pb
0.000 0.000 0.000 Pb
2.967 5.138 -4.196 Nd
1.239 2.147 -1.753 Nd
-1.239 2.147 1.753 Nd
5.933 0.000 4.196 Nd
-2.967 5.138 4.196 Nd
2.479 0.000 1.753 Nd


[10]
Nd10Tl3Pb3 | Alexandria | PBE | relaxed; E_form = -0.41 eV per atom
1.0
6.971 0.000 0.000
0.000 8.092 -4.672
0.000 0.000 9.344
Pb Nd Tl
3 10 3
Cartesian
3.486 4.883 2.819 Pb
3.486 3.209 -1.853 Pb
3.486 0.000 3.705 Pb
5.248 5.395 0.000 Nd
3.486 0.000 7.108 Nd
1.724 5.395 0.000 Nd
1.724 2.697 4.672 Nd
3.486 1.936 1.118 Nd
3.486 6.156 -3.554 Nd
0.000 0.000 2.204 Nd
0.000 1.909 -1.102 Nd
5.248 2.697 4.672 Nd
0.000 6.183 3.570 Nd
0.000 4.852 -2.801 Tl
0.000 0.000 5.602 Tl
0.000 3.240 1.871 Tl


[11]
Nd2Tl3Pb | Alexandria | PBE | relaxed; E_form = -0.25 eV per atom
1.0
3.610 0.000 0.000
0.000 5.339 0.000
0.000 0.000 9.203
Nd Tl Pb
2 3 1
Cartesian
0.000 0.000 4.596 Nd
0.000 2.669 0.000 Nd
1.805 2.669 6.176 Tl
1.805 0.000 7.653 Tl
1.805 0.000 1.496 Tl
1.805 2.669 3.085 Pb


[12]
Nd4TlPb3 | Alexandria | PBE | relaxed; E_form = -0.46 eV per atom
1.0
-4.736 3.207 1.397
-0.610 -3.073 4.985
6.774 4.550 0.113
Tl Nd Pb
1 4 3
Cartesian
-2.368 1.604 0.699 Tl
-1.632 1.238 4.031 Nd
3.060 3.445 2.465 Nd
1.041 1.172 0.838 Nd
0.387 3.512 5.657 Nd
1.770 0.800 4.164 Pb
-0.305 -1.537 2.493 Pb
-0.342 3.884 2.331 Pb


| no. | size of the total moment (μB/f.u.) | DFT total energy (eV per atom) |
| --- | --- | --- |
| 1 | 0.0 | -3.756 |
| 2 | 0.0 | -4.090 |
| 3 | 0.0 | -4.666 |
| 4 | 0.0 | -3.840 |
| 5 | 0.0 | -4.442 |
| 6 | 0.0 | -4.152 |
| 7 | 0.0 | -4.744 |
| 8 | 0.0 | -4.285 |
| 9 | 0.0 | -3.937 |
| 10 | 0.0 | -4.527 |
| 11 | 0.0 | -3.636 |
| 12 | 0.0 | -4.528 |